# 1
DFT (PBE-GGA) results for a relaxed CsK3Co crystal.

a b c (Å): 7.9717 7.9717 7.9717
angles (deg): 90.00 90.00 90.00
With the nearest neighbours (Å) after each atom.
Fractional positions:
Cs: 0.0000 0.0000 0.0000  6 K 3.99
K: 0.0000 0.0000 0.5000  2 Cs 3.99
K: 0.0000 0.5000 0.0000  2 Cs 3.99
K: 0.5000 0.0000 0.0000  2 Cs 3.99
Co: 0.5000 0.5000 0.5000  12 K 5.64

=====

# 2
DFT (PBE-GGA) results for a relaxed Cs3KCo crystal.

a b c (Å): 8.2648 8.2648 8.2648
angles (deg): 90.00 90.00 90.00
With the nearest neighbours (Å) after each atom.
Fractional positions:
Cs: 0.0000 0.0000 0.5000  2 K 4.13
Cs: 0.0000 0.5000 0.0000  2 K 4.13
Cs: 0.5000 0.0000 0.0000  2 K 4.13
K: 0.0000 0.0000 0.0000  6 Cs 4.13
Co: 0.5000 0.5000 0.5000  12 Cs 5.84

=====

Table of raw total energy (eV/atom), in record order: -1.08; -1.19
Table of calculated formation energy (meV per atom), in record order: 1172; 964